Entry 1:
{
  "formula": "V8MoW2",
  "functional": "PBE",
  "state": "optimized geometry",
  "lattice": [[4.251, 0.000, -1.224], [-1.015, 6.582, -3.525], [-0.390, -1.359, 6.640]],
  "species": ["V", "V", "V", "V", "V", "V", "V", "V", "Mo", "W", "W"],
  "fractional_positions": [[0.555, 0.724, 0.110], [0.299, 0.473, 0.598], [0.194, 0.050, 0.388], [0.050, 0.230, 0.101], [0.806, 0.950, 0.612], [0.701, 0.527, 0.402], [0.445, 0.276, 0.890], [0.950, 0.770, 0.899], [0.500, 0.000, 0.000], [0.146, 0.663, 0.293], [0.854, 0.337, 0.707]],
  "e_tot_ev_per_atom": -9.755,
  "dos_ef_per_ev_atom": 1.184,
  "delta_e_f_ev_per_atom": 0.216
}


Entry 2:
{
  "formula": "Tb3DyCu2",
  "functional": "PBE",
  "state": "optimized geometry",
  "lattice": [[6.804, 0.000, 0.000], [0.000, 7.195, 0.000], [-3.402, -3.598, 6.725]],
  "species": ["Tb", "Tb", "Tb", "Tb", "Tb", "Tb", "Dy", "Dy", "Cu", "Cu", "Cu", "Cu"],
  "fractional_positions": [[0.500, 0.250, 0.000], [0.500, 0.750, 0.000], [0.766, 0.016, 0.532], [0.234, 0.484, 0.468], [0.234, 0.984, 0.468], [0.766, 0.516, 0.532], [0.000, 0.500, 0.000], [0.000, 0.000, 0.000], [0.567, 0.359, 0.717], [0.849, 0.141, 0.283], [0.151, 0.859, 0.717], [0.433, 0.641, 0.283]],
  "e_tot_ev_per_atom": -4.423,
  "dos_ef_per_ev_atom": 1.242,
  "e_above_lowest_polymorph_mev_per_atom": 181.5,
  "delta_e_f_ev_per_atom": 0.025
}


Copy entry 1 word for word.
{
  "formula": "V8MoW2",
  "functional": "PBE",
  "state": "optimized geometry",
  "lattice": [[4.251, 0.000, -1.224], [-1.015, 6.582, -3.525], [-0.390, -1.359, 6.640]],
  "species": ["V", "V", "V", "V", "V", "V", "V", "V", "Mo", "W", "W"],
  "fractional_positions": [[0.555, 0.724, 0.110], [0.299, 0.473, 0.598], [0.194, 0.050, 0.388], [0.050, 0.230, 0.101], [0.806, 0.950, 0.612], [0.701, 0.527, 0.402], [0.445, 0.276, 0.890], [0.950, 0.770, 0.899], [0.500, 0.000, 0.000], [0.146, 0.663, 0.293], [0.854, 0.337, 0.707]],
  "e_tot_ev_per_atom": -9.755,
  "dos_ef_per_ev_atom": 1.184,
  "delta_e_f_ev_per_atom": 0.216
}